Record 1
# TbYC, relaxed, DFT PBE
# excess energy over the best structure of this formula in the dataset	1.17	eV/f.u.
# DOS at the Fermi energy	2.26	states/eV/f.u.
# space-group type	Cmc2_1
# formation energy from the elements	0.340	eV/f.u.
data_TbYC
_chemical_formula_sum 'Tb2 Y2 C2'
_cell_length_a 6.7346
_cell_length_b 6.7346
_cell_length_c 5.8376
_cell_angle_alpha 90.00
_cell_angle_beta 90.00
_cell_angle_gamma 146.94
_space_group_name_H-M_alt 'P 1'
_space_group_IT_number 1
_space_group_name_Hall 'P 1'
loop_
_atom_site_label
_atom_site_type_symbol
_atom_site_fract_x
_atom_site_fract_y
_atom_site_fract_z
Tb1 Tb 0.0388 0.9612 0.5000
Tb2 Tb 0.9612 0.0388 0.0000
Y1 Y 0.3053 0.6947 0.4809
Y2 Y 0.6947 0.3053 0.9809
C1 C 0.1547 0.8453 0.2033
C2 C 0.8453 0.1547 0.7033

Record 2
# CsSmHg2, relaxed, DFT PBE
# excess energy over the best structure of this formula in the dataset	0.00	eV/f.u.
# DOS at the Fermi energy	4.88	states/eV/f.u.
# space-group type	P4/mmm
# formation energy from the elements	-1.014	eV/f.u.
data_CsSmHg2
_chemical_formula_sum 'Cs1 Sm1 Hg2'
_cell_length_a 3.9404
_cell_length_b 3.9404
_cell_length_c 8.9745
_cell_angle_alpha 90.00
_cell_angle_beta 90.00
_cell_angle_gamma 90.00
_space_group_name_H-M_alt 'P 1'
_space_group_IT_number 1
_space_group_name_Hall 'P 1'
loop_
_atom_site_label
_atom_site_type_symbol
_atom_site_fract_x
_atom_site_fract_y
_atom_site_fract_z
Cs1 Cs 0.0000 0.0000 0.0000
Sm1 Sm 0.0000 0.0000 0.5000
Hg1 Hg 0.5000 0.5000 0.3143
Hg2 Hg 0.5000 0.5000 0.6857

Record 3
# AsPtAu, relaxed, DFT PBE
# excess energy over the best structure of this formula in the dataset	0.31	eV/f.u.
# DOS at the Fermi energy	1.81	states/eV/f.u.
# space-group type	F-43m
# formation energy from the elements	0.147	eV/f.u.
data_AsPtAu
_chemical_formula_sum 'As1 Pt1 Au1'
_cell_length_a 4.3965
_cell_length_b 4.3965
_cell_length_c 4.3965
_cell_angle_alpha 60.00
_cell_angle_beta 60.00
_cell_angle_gamma 60.00
_space_group_name_H-M_alt 'P 1'
_space_group_IT_number 1
_space_group_name_Hall 'P 1'
loop_
_atom_site_label
_atom_site_type_symbol
_atom_site_fract_x
_atom_site_fract_y
_atom_site_fract_z
As1 As 0.0000 0.0000 0.0000
Pt1 Pt 0.2500 0.2500 0.2500
Au1 Au 0.5000 0.5000 0.5000

Record 4
# AcSbP2, relaxed, DFT PBE
# excess energy over the best structure of this formula in the dataset	0.28	eV/f.u.
# DOS at the Fermi energy	1.68	states/eV/f.u.
# space-group type	P4/mmm
# raw formation energy	-0.47	eV/atom
data_AcSbP2
_chemical_formula_sum 'Ac1 Sb1 P2'
_cell_length_a 4.9342
_cell_length_b 4.9342
_cell_length_c 3.9061
_cell_angle_alpha 90.00
_cell_angle_beta 90.00
_cell_angle_gamma 90.00
_space_group_name_H-M_alt 'P 1'
_space_group_IT_number 1
_space_group_name_Hall 'P 1'
loop_
_atom_site_label
_atom_site_type_symbol
_atom_site_fract_x
_atom_site_fract_y
_atom_site_fract_z
Ac1 Ac 0.0000 0.0000 0.0000
Sb1 Sb 0.5000 0.5000 0.0000
P1 P 0.0000 0.5000 0.5000
P2 P 0.5000 0.0000 0.5000

Record 5
# HfZr2Be6, relaxed, DFT PBE
# DOS at the Fermi energy	6.70	states/eV/f.u.
# space-group type	P6/mmm
# formation energy from the elements	-1.542	eV/f.u.
data_HfZr2Be6
_chemical_formula_sum 'Hf1 Zr2 Be6'
_cell_length_a 6.5839
_cell_length_b 6.5839
_cell_length_c 3.2317
_cell_angle_alpha 90.00
_cell_angle_beta 90.00
_cell_angle_gamma 120.00
_space_group_name_H-M_alt 'P 1'
_space_group_IT_number 1
_space_group_name_Hall 'P 1'
loop_
_atom_site_label
_atom_site_type_symbol
_atom_site_fract_x
_atom_site_fract_y
_atom_site_fract_z
Hf1 Hf 0.0000 0.0000 0.0000
Zr1 Zr 0.3333 0.6667 0.0000
Zr2 Zr 0.6667 0.3333 0.0000
Be1 Be 0.0000 0.3322 0.5000
Be2 Be 0.0000 0.6678 0.5000
Be3 Be 0.3322 0.0000 0.5000
Be4 Be 0.3322 0.3322 0.5000
Be5 Be 0.6678 0.0000 0.5000
Be6 Be 0.6678 0.6678 0.5000

Record 6
# ZnMoS, relaxed, DFT PBE
# DOS at the Fermi energy	1.11	states/eV/f.u.
# space-group type	Amm2
# raw formation energy	-0.14	eV/atom
data_ZnMoS
_chemical_formula_sum 'Zn2 Mo2 S2'
_cell_length_a 12.3960
_cell_length_b 3.0569
_cell_length_c 3.0569
_cell_angle_alpha 59.75
_cell_angle_beta 90.00
_cell_angle_gamma 90.00
_space_group_name_H-M_alt 'P 1'
_space_group_IT_number 1
_space_group_name_Hall 'P 1'
loop_
_atom_site_label
_atom_site_type_symbol
_atom_site_fract_x
_atom_site_fract_y
_atom_site_fract_z
Zn1 Zn 0.1654 0.0000 0.0000
Zn2 Zn 0.8346 0.0000 0.0000
Mo1 Mo 0.0000 0.6703 0.6703
Mo2 Mo 0.5000 0.7211 0.7211
S1 S 0.3675 0.3888 0.3888
S2 S 0.6325 0.3888 0.3888